No. 1
Crystalline LiAgBr3 at its relaxed geometry, computed with PBE-GGA.

It has space group Cc (No. 9), with a = 11.3912 Å, b = 7.2920 Å, c = 7.3044 Å, α = 90.00°, β = 119.64° and γ = 90.00°. The distinct sites, in fractional coordinates, are Li at (0.0000, 0.2403, 0.0000), Ag at (0.1802, 0.2510, 0.5554), Br at (0.0915, 0.4195, 0.7757), Br at (0.2499, 0.1095, 0.2944) and Br at (0.4326, 0.3863, 0.7926).

The density of states at the Fermi level is 8.9 states/eV/cell. For the formation energy (no corrections), the calculation gives -0.705 eV per atom. The value obtained for the polymorph energy (0 for the lowest one) is 0.000 eV/f.u.

***

No. 2
Crystalline HfSiTe2Rh at its relaxed geometry, computed with PBE-GGA.

It has space group P4/mmm (No. 123), with a = 5.5248 Å, b = 5.5248 Å, c = 4.7714 Å, α = 90.00°, β = 90.00° and γ = 90.00°. The distinct sites, in fractional coordinates, are Hf at (0.0000, 0.0000, 0.0000), Si at (0.5000, 0.5000, 0.5000), Te at (0.0000, 0.5000, 0.0000) and Rh at (0.0000, 0.0000, 0.5000).

The density of states at the Fermi level is 4.6 states/eV/cell. For the formation energy (no corrections), the calculation gives 0.665 eV per atom.